The following is a DFT calculation (PBE) of a relaxed AcTbPm4 crystal.

```
AcTbPm4
1.0
3.7179 0.0000 0.0000
0.0000 5.1602 0.0000
0.0000 0.0000 11.1356
Ac Tb Pm
1 1 4
Direct
0.0000 0.0000 0.0000 Ac
0.5000 0.5000 0.5000 Tb
0.0000 0.0000 0.3384 Pm
0.0000 0.0000 0.6616 Pm
0.5000 0.5000 0.1771 Pm
0.5000 0.5000 0.8229 Pm
```

Computed properties:
ΔE to the lowest computed polymorph: 0.0 meV per atom
Symmetry: Pmmm (47)
D(E_F): 1.4732 states/eV/atom
Energy relative to the elements: 3 kJ/mol of atoms